The following is a PBE+U calculation of an optimized crystal structure of CaMn6O5F7, from the Alexandria database.

a b c (Å): 5.912 6.894 7.560
angles (deg): 113.74 108.25 81.17
Each line ends with the local moment (μB).
Positions (direct):
F1 0.431 0.942 0.675  0.06
F2 0.718 0.986 0.359  0.04
F3 0.625 0.593 0.362  0.02
F4 0.165 0.084 0.323  0.01
F5 0.007 0.281 0.677  0.04
F6 0.535 0.372 0.957  0.04
F7 0.339 0.755 0.022  0.07
Mn1 0.707 0.669 0.141  4.61
Mn2 0.171 0.480 0.977  4.64
Mn3 0.038 0.955 0.999  4.11
Mn4 0.213 0.385 0.338  4.00
Mn5 0.679 0.675 0.650  4.01
Mn6 0.076 0.934 0.519  4.62
Ca1 0.639 0.187 0.668  0.01
O1 0.104 0.239 0.053  -0.07
O2 0.910 0.888 0.714  -0.10
O3 0.455 0.467 0.585  -0.04
O4 0.080 0.633 0.293  -0.04
O5 0.849 0.703 0.930  -0.06

## Properties
calculated total energy = -6.72 eV per atom
symmetry = P1 (1)
total magnetization = 27.0 μB/cell
E above lowest polymorph = 14.8 meV per atom